Entry 1:
VASP calculation (PBE) on CsNaCe2I8 after structural relaxation. Values from VASP.

Results
ΔE_f (raw)   -1.33 eV per atom
Total energy   -42.4 eV/cell
Symmetry   P-3 (147)
Size of the total moment   2.00 μB/cell
Density   4.278 g/cm3

Geometry as Quantum ESPRESSO input:
```
&SYSTEM
  ibrav = 0, nat = 12, ntyp = 4
/
ATOMIC_SPECIES
Cs 132.91 Cs.upf
Na 22.99 Na.upf
Ce 140.12 Ce.upf
I 126.90 I.upf
CELL_PARAMETERS angstrom
8.274 0.000 0.000
-4.137 7.165 0.000
0.000 0.000 9.503
ATOMIC_POSITIONS angstrom
Cs 0.000 0.000 0.000
Na 0.000 0.000 4.752
Ce 0.000 4.777 3.894
Ce 4.137 2.388 5.609
I -0.987 2.641 6.256
I -1.356 6.700 6.256
I 0.000 4.777 0.840
I 1.793 2.175 3.247
I 2.343 4.990 6.256
I 4.137 2.388 8.663
I 5.493 0.465 3.247
I 5.124 4.524 3.247
```

Entry 2:
VASP calculation (PBE) on CsCe2NdI8 after structural relaxation. Values from VASP.

Results
ΔE_f (raw)   -1.26 eV per atom
Total energy   -45.0 eV/cell
Symmetry   P-3 (147)
Size of the total moment   4.04 μB/cell
Density   4.604 g/cm3

Geometry as Quantum ESPRESSO input:
```
&SYSTEM
  ibrav = 0, nat = 12, ntyp = 4
/
ATOMIC_SPECIES
Cs 132.91 Cs.upf
Ce 140.12 Ce.upf
Nd 144.24 Nd.upf
I 126.90 I.upf
CELL_PARAMETERS angstrom
8.179 0.000 0.000
-4.090 7.083 0.000
0.000 0.000 9.789
ATOMIC_POSITIONS angstrom
Cs 0.000 0.000 0.000
Ce 0.000 4.722 4.011
Ce 4.090 2.361 5.779
Nd 0.000 0.000 4.895
I -0.896 2.599 6.492
I -1.391 6.560 6.492
I 0.000 4.722 0.904
I 1.803 2.076 3.298
I 2.287 5.008 6.492
I 4.090 2.361 8.886
I 5.480 0.523 3.298
I 4.986 4.484 3.298
```